DFT (GGA-PBE) results for Sm6Dy5Mg after structural relaxation.

As for the space group: C2/m (12). As for the energy of formation: 0.019 eV/atom. Its total magnetization is 0.0 Bohr magnetons per cell. For the total energy, the calculation gives -4.3905 eV/atom.

a = 6.1825 Å, b = 7.9593 Å, c = 7.9593 Å
α = 84.64°, β = 97.64°, γ = 97.64°
With the nearest neighbours (Å) after each atom.
Element x y z (fractional)
Sm 0.7509 0.2514 0.2514  5 Dy 3.53-3.56, 6 Sm 3.55-3.59, 1 Mg 3.57
Sm 0.2538 0.0815 0.4145  6 Sm 3.52-3.62, 5 Dy 3.53-3.60, 1 Mg 3.54
Dy 0.0000 0.6659 0.3341  6 Sm 3.53-3.60, 5 Dy 3.56-3.58, 1 Mg 3.58
Dy 0.5000 0.1656 0.8344  6 Sm 3.53-3.57, 4 Dy 3.55-3.58, 2 Mg 3.56
Dy 0.0000 0.3341 0.6659  6 Sm 3.53-3.60, 5 Dy 3.56-3.58, 1 Mg 3.58
Dy 0.5000 0.5000 0.5000  6 Sm 3.55-3.56, 6 Dy 3.57-3.58
Sm 0.2491 0.7486 0.7486  5 Dy 3.53-3.56, 6 Sm 3.55-3.59, 1 Mg 3.57
Mg 0.0000 0.0000 0.0000  6 Sm 3.54-3.57, 6 Dy 3.56-3.58
Dy 0.5000 0.8344 0.1656  6 Sm 3.53-3.57, 4 Dy 3.55-3.58, 2 Mg 3.56
Sm 0.7462 0.5855 0.9185  6 Sm 3.52-3.62, 5 Dy 3.53-3.60, 1 Mg 3.54
Sm 0.7462 0.9185 0.5855  6 Sm 3.52-3.62, 5 Dy 3.53-3.60, 1 Mg 3.54
Sm 0.2538 0.4145 0.0815  6 Sm 3.52-3.62, 5 Dy 3.53-3.60, 1 Mg 3.54